Below is a relaxed structure of Ac2CF, with properties calculated at the PBE level.

Properties
ΔE_f (raw) in eV/atom: -1.281
Total magnetic moment in μB/f.u.: 0.00
V in Å³ per cell: 270.2
Energy above the lowest structure with this stoichiometry in meV per atom: 0

CIF file:
```
data_Ac2CF
_chemical_formula_sum 'Ac6 C3 F3'
_symmetry_space_group_name_H-M 'R -3 m'
_symmetry_Int_Tables_number 166
_symmetry_space_group_name_Hall '-R 3 2"'
_cell_length_a 3.9717
_cell_length_b 3.9717
_cell_length_c 19.7792
_cell_angle_alpha 90.00
_cell_angle_beta 90.00
_cell_angle_gamma 120.00
loop_
_atom_site_label
_atom_site_fract_x
_atom_site_fract_y
_atom_site_fract_z
Ac1 0.0000 0.0000 0.2425
C1 0.0000 0.0000 0.5000
F1 0.0000 0.0000 0.0000
```

Below is a relaxed structure of Ac2CF, with properties calculated at the PBE level.

Properties
ΔE_f (raw) in eV/atom: -1.226
Total magnetic moment in μB/f.u.: 0.00
V in Å³ per cell: 275.0
Energy above the lowest structure with this stoichiometry in meV per atom: 55

CIF file:
```
data_Ac2CF
_chemical_formula_sum 'Ac6 C3 F3'
_symmetry_space_group_name_H-M 'R 3 m'
_symmetry_Int_Tables_number 160
_symmetry_space_group_name_Hall 'R 3 -2"'
_cell_length_a 3.8818
_cell_length_b 3.8818
_cell_length_c 21.0712
_cell_angle_alpha 90.00
_cell_angle_beta 90.00
_cell_angle_gamma 120.00
loop_
_atom_site_label
_atom_site_fract_x
_atom_site_fract_y
_atom_site_fract_z
Ac1 0.0000 0.0000 0.0000
Ac2 0.0000 0.0000 0.1886
C1 0.0000 0.0000 0.5937
F1 0.0000 0.0000 0.4233
```

Below is a relaxed structure of Ac2CF, with properties calculated at the PBE level.

Properties
ΔE_f (raw) in eV/atom: -0.767
Total magnetic moment in μB/f.u.: 0.00
V in Å³ per cell: 80.9
Energy above the lowest structure with this stoichiometry in meV per atom: 514

CIF file:
```
data_Ac2CF
_chemical_formula_sum 'Ac2 C1 F1'
_symmetry_space_group_name_H-M 'P 4/m m m'
_symmetry_Int_Tables_number 123
_symmetry_space_group_name_Hall '-P 4 2'
_cell_length_a 3.4106
_cell_length_b 3.4106
_cell_length_c 6.9507
_cell_angle_alpha 90.00
_cell_angle_beta 90.00
_cell_angle_gamma 90.00
loop_
_atom_site_label
_atom_site_fract_x
_atom_site_fract_y
_atom_site_fract_z
Ac1 0.0000 0.0000 0.2220
C1 0.5000 0.5000 0.0000
F1 0.5000 0.5000 0.5000
```

Below is a relaxed structure of Ac2C2F, with properties calculated at the PBE level.

Properties
ΔE_f (raw) in eV/atom: -1.118
Total magnetic moment in μB/f.u.: 0.00
V in Å³ per cell: 434.6

CIF file:
```
data_Ac2C2F
_chemical_formula_sum 'Ac8 C8 F4'
_symmetry_space_group_name_H-M 'C 1 2/c 1'
_symmetry_Int_Tables_number 15
_cell_length_a 14.2880
_cell_length_b 4.5561
_cell_length_c 7.0105
_cell_angle_alpha 90.00
_cell_angle_beta 107.78
_cell_angle_gamma 90.00
loop_
_symmetry_equiv_pos_as_xyz
'x,y,z'
'-x,-y,-z'
'-x,y,-z+1/2'
'x,-y,z+1/2'
'x+1/2,y+1/2,z'
'-x+1/2,-y+1/2,-z'
'-x+1/2,y+1/2,-z+1/2'
'x+1/2,-y+1/2,z+1/2'
loop_
_atom_site_label
_atom_site_fract_x
_atom_site_fract_y
_atom_site_fract_z
Ac1 0.1393 0.1855 0.1130
C1 0.2252 0.3719 0.5159
F1 0.0000 0.0770 0.7500
```

Below is a relaxed structure of Ac2Fe5C4, with properties calculated at the PBE level.

Properties
Total magnetic moment in μB/f.u.: 0.00
V in Å³ per cell: 526.6
Energy of formation in eV/atom: 0.051

CIF file:
```
data_Ac2Fe5C4
_chemical_formula_sum 'Ac8 Fe20 C16'
_symmetry_space_group_name_H-M 'F m m m'
_symmetry_Int_Tables_number 69
_symmetry_space_group_name_Hall '-F 2 2'
_cell_length_a 5.1419
_cell_length_b 9.7791
_cell_length_c 10.4733
_cell_angle_alpha 90.00
_cell_angle_beta 90.00
_cell_angle_gamma 90.00
loop_
_atom_site_label
_atom_site_fract_x
_atom_site_fract_y
_atom_site_fract_z
Ac1 0.0000 0.0000 0.1483
Fe1 0.0000 0.0000 0.5000
Fe2 0.2500 0.2500 0.0000
Fe3 0.2500 0.2500 0.2500
C1 0.0000 0.1688 0.3732
```

Below is a relaxed structure of Ac4Fe3C5, with properties calculated at the PBE level.

Properties
Total magnetic moment in μB/f.u.: 2.76
V in Å³ per cell: 451.6
Energy of formation in eV/atom: -0.014

CIF file:
```
data_Ac4Fe3C5
_chemical_formula_sum 'Ac8 Fe6 C10'
_symmetry_space_group_name_H-M 'C 1 2/m 1'
_symmetry_Int_Tables_number 12
_cell_length_a 11.7169
_cell_length_b 4.0248
_cell_length_c 10.2144
_cell_angle_alpha 90.00
_cell_angle_beta 110.35
_cell_angle_gamma 90.00
loop_
_symmetry_equiv_pos_as_xyz
'x,y,z'
'-x,-y,-z'
'-x,y,-z'
'x,-y,z'
'x+1/2,y+1/2,z'
'-x+1/2,-y+1/2,-z'
'-x+1/2,y+1/2,-z'
'x+1/2,-y+1/2,z'
loop_
_atom_site_label
_atom_site_fract_x
_atom_site_fract_y
_atom_site_fract_z
Ac1 0.1026 0.0000 0.3910
Ac2 0.2479 0.5000 0.1601
Fe1 0.0000 0.0000 0.0000
Fe2 0.0362 0.5000 0.8393
C1 0.0000 0.5000 0.0000
C2 0.0956 0.5000 0.6946
C3 0.1692 0.5000 0.6175
```

Below is a relaxed structure of AcFe3C2, with properties calculated at the PBE level.

Properties
Total magnetic moment in μB/f.u.: 4.42
V in Å³ per cell: 322.1
Energy of formation in eV/atom: 0.110

CIF file:
```
data_AcFe3C2
_chemical_formula_sum 'Ac4 Fe12 C8'
_symmetry_space_group_name_H-M 'C 1 2/m 1'
_symmetry_Int_Tables_number 12
_cell_length_a 12.9978
_cell_length_b 3.6524
_cell_length_c 8.0246
_cell_angle_alpha 90.00
_cell_angle_beta 122.27
_cell_angle_gamma 90.00
loop_
_symmetry_equiv_pos_as_xyz
'x,y,z'
'-x,-y,-z'
'-x,y,-z'
'x,-y,z'
'x+1/2,y+1/2,z'
'-x+1/2,-y+1/2,-z'
'-x+1/2,y+1/2,-z'
'x+1/2,-y+1/2,z'
loop_
_atom_site_label
_atom_site_fract_x
_atom_site_fract_y
_atom_site_fract_z
Ac1 0.1290 0.0000 0.0051
Fe1 0.0772 0.0000 0.4386
Fe2 0.1055 0.5000 0.6556
Fe3 0.1965 0.5000 0.3821
C1 0.0345 0.5000 0.3337
C2 0.1936 0.0000 0.7226
```

Below is a relaxed structure of AcFe2C3, with properties calculated at the PBE level.

Properties
Total magnetic moment in μB/f.u.: 0.32
V in Å³ per cell: 317.7
Energy of formation in eV/atom: -0.045

CIF file:
```
data_AcFe2C3
_chemical_formula_sum 'Ac4 Fe8 C12'
_symmetry_space_group_name_H-M 'C m c m'
_symmetry_Int_Tables_number 63
_symmetry_space_group_name_Hall '-C 2c 2'
_cell_length_a 6.5810
_cell_length_b 9.8603
_cell_length_c 4.8953
_cell_angle_alpha 90.00
_cell_angle_beta 90.00
_cell_angle_gamma 90.00
loop_
_atom_site_label
_atom_site_fract_x
_atom_site_fract_y
_atom_site_fract_z
Ac1 0.0000 0.2163 0.2500
Fe1 0.1888 0.5000 0.0000
C1 0.0000 0.4245 0.7500
C2 0.1052 0.0634 0.7500
```

Below is a relaxed structure of Ac2Ga2Fe2C, with properties calculated at the PBE level.

Properties
Total magnetic moment in μB/f.u.: 0.00
V in Å³ per cell: 287.5
Energy of formation in eV/atom: -0.285

CIF file:
```
data_Ac2Ga2Fe2C
_chemical_formula_sum 'Ac4 Ga4 Fe4 C2'
_symmetry_space_group_name_H-M 'C 1 2/m 1'
_symmetry_Int_Tables_number 12
_cell_length_a 11.5755
_cell_length_b 4.2208
_cell_length_c 7.5684
_cell_angle_alpha 90.00
_cell_angle_beta 128.97
_cell_angle_gamma 90.00
loop_
_symmetry_equiv_pos_as_xyz
'x,y,z'
'-x,-y,-z'
'-x,y,-z'
'x,-y,z'
'x+1/2,y+1/2,z'
'-x+1/2,-y+1/2,-z'
'-x+1/2,y+1/2,-z'
'x+1/2,-y+1/2,z'
loop_
_atom_site_label
_atom_site_fract_x
_atom_site_fract_y
_atom_site_fract_z
Ac1 0.0542 0.0000 0.2940
Ga1 0.1914 0.5000 0.7643
Fe1 0.1811 0.5000 0.0785
C1 0.0000 0.5000 0.0000
```

Below is a relaxed structure of Ac2Fe2Ge2C, with properties calculated at the PBE level.

Properties
Total magnetic moment in μB/f.u.: 0.00
V in Å³ per cell: 280.1
Energy of formation in eV/atom: -0.441

CIF file:
```
data_Ac2Fe2Ge2C
_chemical_formula_sum 'Ac4 Fe4 Ge4 C2'
_symmetry_space_group_name_H-M 'C 1 2/m 1'
_symmetry_Int_Tables_number 12
_cell_length_a 11.3667
_cell_length_b 4.1651
_cell_length_c 7.4181
_cell_angle_alpha 90.00
_cell_angle_beta 127.09
_cell_angle_gamma 90.00
loop_
_symmetry_equiv_pos_as_xyz
'x,y,z'
'-x,-y,-z'
'-x,y,-z'
'x,-y,z'
'x+1/2,y+1/2,z'
'-x+1/2,-y+1/2,-z'
'-x+1/2,y+1/2,-z'
'x+1/2,-y+1/2,z'
loop_
_atom_site_label
_atom_site_fract_x
_atom_site_fract_y
_atom_site_fract_z
Ac1 0.0536 0.0000 0.2996
Fe1 0.1820 0.5000 0.0725
Ge1 0.1926 0.5000 0.7593
C1 0.0000 0.5000 0.0000
```